Material: CsDyNiTe3
Method: DFT, PBE
State: optimized geometry

Lattice parameters (Å, degrees): 10.0868 4.3392 10.7198 90.00 113.31 90.00
With the nearest neighbours (Å) after each atom.
Fractional positions:
Cs  0.2198  0.2500  0.2661  7 Te 3.78-3.97
Cs  0.7802  0.7500  0.7339  7 Te 3.78-3.97
Dy  0.3243  0.7500  0.8620  6 Te 3.05-3.15
Dy  0.6757  0.2500  0.1380  6 Te 3.05-3.15
Ni  0.0972  0.2500  0.6255  4 Te 2.53-2.54
Ni  0.9028  0.7500  0.3745  4 Te 2.53-2.54
Te  0.1142  0.2500  0.8683  1 Ni 2.54
Te  0.1633  0.7500  0.5429  3 Ni 2.53
Te  0.4741  0.7500  0.1711  3 Dy 3.05-3.09
Te  0.5259  0.2500  0.8289  3 Dy 3.05-3.09
Te  0.8367  0.2500  0.4571  3 Ni 2.53
Te  0.8858  0.7500  0.1317  1 Ni 2.54

Summary:
Distance to the lowest polymorph of the same formula, meV/atom: 0.0
Magnetization, μB/f.u.: 0.00
Final energy, eV/cell: -51.978

=====

Material: CsDyNiTe3
Method: DFT, PBE
State: optimized geometry

Lattice parameters (Å, degrees): 9.4456 9.4456 10.6949 90.00 90.00 153.97
With the nearest neighbours (Å) after each atom.
Fractional positions:
Cs  0.2444  0.7556  0.7500  6 Te 3.78-3.85
Cs  0.7556  0.2444  0.2500  6 Te 3.78-3.85
Dy  0.5000  0.5000  0.0000  6 Te 3.01-3.07
Dy  0.5000  0.5000  0.5000  6 Te 3.01-3.07
Ni  0.0090  0.9910  0.2500  4 Te 2.54-2.63
Ni  0.9910  0.0090  0.7500  4 Te 2.54-2.63
Te  0.1089  0.8911  0.0868  1 Ni 2.54
Te  0.1089  0.8911  0.4132  1 Ni 2.54
Te  0.4253  0.5747  0.2500  2 Ni 2.63
Te  0.5747  0.4253  0.7500  2 Ni 2.63
Te  0.8911  0.1089  0.5868  1 Ni 2.54
Te  0.8911  0.1089  0.9132  1 Ni 2.54

Summary:
Distance to the lowest polymorph of the same formula, meV/atom: 15.6
Magnetization, μB/f.u.: 0.00
Final energy, eV/cell: -51.791

=====

Material: CsDyNiTe3
Method: DFT, PBE
State: optimized geometry

Lattice parameters (Å, degrees): 13.0199 4.4908 13.6619 90.00 90.00 90.00
With the nearest neighbours (Å) after each atom.
Fractional positions:
Cs  0.1442  0.2500  0.0040  6 Te 3.72-3.86, 2 Ni 3.93
Cs  0.3558  0.7500  0.5040  6 Te 3.72-3.86, 2 Ni 3.93
Cs  0.6442  0.2500  0.4960  6 Te 3.72-3.86, 2 Ni 3.93
Cs  0.8558  0.7500  0.9960  6 Te 3.72-3.86, 2 Ni 3.93
Dy  0.0162  0.7500  0.6450  6 Te 3.01-3.13
Dy  0.4838  0.2500  0.1450  6 Te 3.01-3.13
Dy  0.5162  0.7500  0.8550  6 Te 3.01-3.13
Dy  0.9838  0.2500  0.3550  6 Te 3.01-3.13
Ni  0.2215  0.2500  0.7024  4 Te 2.52-2.58
Ni  0.2785  0.7500  0.2024  4 Te 2.52-2.58
Ni  0.7215  0.2500  0.7976  4 Te 2.52-2.58
Ni  0.7785  0.7500  0.2976  4 Te 2.52-2.58
Te  0.0824  0.7500  0.2265  1 Ni 2.57
Te  0.1307  0.2500  0.5347  1 Ni 2.58
Te  0.1970  0.7500  0.7828  2 Ni 2.52
Te  0.3030  0.2500  0.2828  2 Ni 2.52
Te  0.3693  0.7500  0.0347  1 Ni 2.58
Te  0.4176  0.2500  0.7265  1 Ni 2.57
Te  0.5824  0.7500  0.2735  1 Ni 2.57
Te  0.6307  0.2500  0.9653  1 Ni 2.58
Te  0.6970  0.7500  0.7172  2 Ni 2.52
Te  0.8030  0.2500  0.2172  2 Ni 2.52
Te  0.8693  0.7500  0.4653  1 Ni 2.58
Te  0.9176  0.2500  0.7735  1 Ni 2.57

Summary:
Distance to the lowest polymorph of the same formula, meV/atom: 74.5
Magnetization, μB/f.u.: 0.00
Final energy, eV/cell: -102.170

=====

Material: CsDyNiTe3
Method: DFT, PBE
State: optimized geometry

Lattice parameters (Å, degrees): 11.2449 4.4234 16.1187 90.00 90.00 90.00
With the nearest neighbours (Å) after each atom.
Fractional positions:
Cs  0.0364  0.2500  0.1611  8 Te 3.68-3.90
Cs  0.4636  0.7500  0.6611  8 Te 3.68-3.90
Cs  0.5364  0.2500  0.3389  8 Te 3.68-3.90
Cs  0.9636  0.7500  0.8389  8 Te 3.68-3.90
Dy  0.1431  0.7500  0.4387  6 Te 3.01-3.13
Dy  0.3569  0.2500  0.9387  6 Te 3.01-3.13
Dy  0.6431  0.7500  0.0613  6 Te 3.01-3.13
Dy  0.8569  0.2500  0.5613  6 Te 3.01-3.13
Ni  0.1477  0.2500  0.6285  4 Te 2.51-2.57
Ni  0.3523  0.7500  0.1285  4 Te 2.51-2.57
Ni  0.6477  0.2500  0.8715  4 Te 2.51-2.57
Ni  0.8523  0.7500  0.3715  4 Te 2.51-2.57
Te  0.0379  0.7500  0.6162  2 Ni 2.54
Te  0.2036  0.7500  0.0073  1 Ni 2.57
Te  0.2328  0.2500  0.7728  1 Ni 2.51
Te  0.2672  0.7500  0.2728  1 Ni 2.51
Te  0.2964  0.2500  0.5073  1 Ni 2.57
Te  0.4621  0.2500  0.1162  2 Ni 2.54
Te  0.5379  0.7500  0.8838  2 Ni 2.54
Te  0.7036  0.7500  0.4927  1 Ni 2.57
Te  0.7328  0.2500  0.7272  1 Ni 2.51
Te  0.7672  0.7500  0.2272  1 Ni 2.51
Te  0.7964  0.2500  0.9927  1 Ni 2.57
Te  0.9621  0.2500  0.3838  2 Ni 2.54

Summary:
Distance to the lowest polymorph of the same formula, meV/atom: 96.9
Magnetization, μB/f.u.: 0.62
Final energy, eV/cell: -101.632

=====

Material: CsDyNiTe3
Method: DFT, PBE
State: optimized geometry

Lattice parameters (Å, degrees): 11.7789 4.3263 16.2225 90.00 90.00 90.00
With the nearest neighbours (Å) after each atom.
Fractional positions:
Cs  0.2468  0.2500  0.0127  8 Te 3.80-4.13, 2 Ni 4.17
Cs  0.2532  0.7500  0.5127  8 Te 3.80-4.13, 2 Ni 4.17
Cs  0.7468  0.2500  0.4873  8 Te 3.80-4.13, 2 Ni 4.17
Cs  0.7532  0.7500  0.9873  8 Te 3.80-4.13, 2 Ni 4.17
Dy  0.0041  0.7500  0.2528  6 Te 3.00-3.07
Dy  0.4959  0.2500  0.7528  6 Te 3.00-3.07
Dy  0.5041  0.7500  0.2472  6 Te 3.00-3.07
Dy  0.9959  0.2500  0.7472  6 Te 3.00-3.07
Ni  0.2436  0.2500  0.2928  4 Te 2.56-2.59
Ni  0.2564  0.7500  0.7928  4 Te 2.56-2.59
Ni  0.7436  0.2500  0.2072  4 Te 2.56-2.59
Ni  0.7564  0.7500  0.7072  4 Te 2.56-2.59
Te  0.0600  0.2500  0.3793  1 Ni 2.58
Te  0.0656  0.7500  0.8720  1 Ni 2.59
Te  0.2480  0.2500  0.7090  2 Ni 2.56
Te  0.2520  0.7500  0.2090  2 Ni 2.56
Te  0.4344  0.2500  0.3720  1 Ni 2.59
Te  0.4400  0.7500  0.8793  1 Ni 2.58
Te  0.5600  0.2500  0.1207  1 Ni 2.58
Te  0.5656  0.7500  0.6280  1 Ni 2.59
Te  0.7480  0.2500  0.7910  2 Ni 2.56
Te  0.7520  0.7500  0.2910  2 Ni 2.56
Te  0.9344  0.2500  0.1280  1 Ni 2.59
Te  0.9400  0.7500  0.6207  1 Ni 2.58

Summary:
Distance to the lowest polymorph of the same formula, meV/atom: 35.7
Magnetization, μB/f.u.: 1.12
Final energy, eV/cell: -103.100

=====

Material: CsDyNp
Method: DFT, PBE
State: optimized geometry

Lattice parameters (Å, degrees): 5.8646 5.8646 5.8646 60.00 60.00 60.00
With the nearest neighbours (Å) after each atom.
Fractional positions:
Cs  0.0000  0.0000  0.0000  4 Dy 3.59
Dy  0.2500  0.2500  0.2500  4 Np 3.59, 4 Cs 3.59
Np  0.5000  0.5000  0.5000  4 Dy 3.59

Summary:
Distance to the lowest polymorph of the same formula, meV/atom: 0.0
Magnetization, μB/f.u.: 7.46
Final energy, eV/cell: -13.071

=====

Material: CsDyNp
Method: DFT, PBE
State: optimized geometry

Lattice parameters (Å, degrees): 5.3861 5.3861 5.3861 60.00 60.00 60.00
With the nearest neighbours (Å) after each atom.
Fractional positions:
Cs  0.0000  0.0000  0.0000  4 Np 3.30, 4 Dy 3.30
Dy  0.2500  0.2500  0.2500  4 Cs 3.30
Np  0.7500  0.7500  0.7500  4 Cs 3.30

Summary:
Distance to the lowest polymorph of the same formula, meV/atom: 83.4
Magnetization, μB/f.u.: 5.15
Final energy, eV/cell: -12.820

=====

Material: Cs2Dy2O5
Method: DFT, PBE
State: optimized geometry

Lattice parameters (Å, degrees): 4.3509 4.3509 9.7164 90.00 90.00 90.00
With the nearest neighbours (Å) after each atom.
Fractional positions:
Cs  0.0000  0.0000  0.0000  12 O 3.08-3.43
Cs  0.0000  0.0000  0.5000  8 O 3.09
Dy  0.5000  0.5000  0.2179  5 O 2.12-2.24
Dy  0.5000  0.5000  0.7821  5 O 2.12-2.24
O  0.0000  0.5000  0.2735  2 Dy 2.24
O  0.0000  0.5000  0.7265  2 Dy 2.24
O  0.5000  0.0000  0.2735  2 Dy 2.24
O  0.5000  0.0000  0.7265  2 Dy 2.24
O  0.5000  0.5000  0.0000  2 Dy 2.12

Summary:
Magnetization, μB/f.u.: 2.00
Final energy, eV/cell: -55.364

=====

Material: Cs2Dy2O5
Method: DFT, PBE
State: optimized geometry

Lattice parameters (Å, degrees): 4.6358 4.6358 7.3836 90.00 90.00 90.00
With the nearest neighbours (Å) after each atom.
Fractional positions:
Cs  0.0000  0.0000  0.1973  5 O 2.23-2.35
Cs  0.0000  0.0000  0.8027  5 O 2.23-2.35
Dy  0.5000  0.5000  0.0000  8 O 2.97
Dy  0.5000  0.5000  0.5000  12 O 2.95-3.28
O  0.0000  0.0000  0.5000  2 Cs 2.23
O  0.0000  0.5000  0.2525  2 Cs 2.35
O  0.0000  0.5000  0.7475  2 Cs 2.35
O  0.5000  0.0000  0.2525  2 Cs 2.35
O  0.5000  0.0000  0.7475  2 Cs 2.35

Summary:
Magnetization, μB/f.u.: 0.00
Final energy, eV/cell: -39.353

=====

Material: CsDyP2O7
Method: DFT, PBE
State: optimized geometry

Lattice parameters (Å, degrees): 7.8275 10.8593 8.7095 90.00 104.12 90.00
With the nearest neighbours (Å) after each atom.
Fractional positions:
Cs  0.1983  0.1920  0.0510  7 O 3.03-3.35
Cs  0.1983  0.3080  0.5510  7 O 3.03-3.35
Cs  0.8017  0.6920  0.4490  7 O 3.03-3.35
Cs  0.8017  0.8080  0.9490  7 O 3.03-3.35
Dy  0.2327  0.5979  0.2537  6 O 2.19-2.26
Dy  0.2327  0.9021  0.7537  6 O 2.19-2.26
Dy  0.7673  0.0979  0.2463  6 O 2.19-2.26
Dy  0.7673  0.4021  0.7463  6 O 2.19-2.26
P  0.1344  0.5944  0.8203  4 O 1.51-1.63
P  0.1344  0.9056  0.3203  4 O 1.51-1.63
P  0.4346  0.6342  0.6849  4 O 1.52-1.63
P  0.4346  0.8658  0.1849  4 O 1.52-1.63
P  0.5654  0.1342  0.8151  4 O 1.52-1.63
P  0.5654  0.3658  0.3151  4 O 1.52-1.63
P  0.8656  0.0944  0.6797  4 O 1.51-1.63
P  0.8656  0.4056  0.1797  4 O 1.51-1.63
O  0.0144  0.0024  0.2203  1 P 1.53
O  0.0144  0.4976  0.7203  1 P 1.53
O  0.0831  0.7242  0.7564  1 P 1.53
O  0.0831  0.7758  0.2564  1 P 1.53
O  0.1441  0.5837  0.9953  1 P 1.51
O  0.1441  0.9163  0.4953  1 P 1.51
O  0.3324  0.5647  0.8025  2 P 1.63
O  0.3317  0.6049  0.5171  1 P 1.52
O  0.3317  0.8951  0.0171  1 P 1.52
O  0.3324  0.9353  0.3025  2 P 1.63
O  0.3807  0.0788  0.7711  1 P 1.53
O  0.3807  0.4212  0.2711  1 P 1.53
O  0.4436  0.7285  0.2244  1 P 1.53
O  0.4436  0.7715  0.7244  1 P 1.53
O  0.5564  0.2285  0.2756  1 P 1.53
O  0.5564  0.2715  0.7756  1 P 1.53
O  0.6193  0.5788  0.7289  1 P 1.53
O  0.6193  0.9212  0.2289  1 P 1.53
O  0.6676  0.0647  0.6975  2 P 1.63
O  0.6683  0.1049  0.9829  1 P 1.52
O  0.6683  0.3951  0.4829  1 P 1.52
O  0.6676  0.4353  0.1975  2 P 1.63
O  0.8559  0.0837  0.5047  1 P 1.51
O  0.8559  0.4163  0.0047  1 P 1.51
O  0.9169  0.2242  0.7436  1 P 1.53
O  0.9169  0.2758  0.2436  1 P 1.53
O  0.9856  0.5024  0.2797  1 P 1.53
O  0.9856  0.9976  0.7797  1 P 1.53

Summary:
Magnetization, μB/f.u.: 0.00
Final energy, eV/cell: -322.756

=====

Material: Cs2PrDyO4
Method: DFT, PBE
State: optimized geometry

Lattice parameters (Å, degrees): 3.6026 3.6026 13.6183 90.00 90.00 120.00
With the nearest neighbours (Å) after each atom.
Fractional positions:
Cs  0.3333  0.6667  0.2536  6 O 3.04-3.07
Cs  0.6667  0.3333  0.7464  6 O 3.04-3.07
Pr  0.0000  0.0000  0.0000  6 O 2.42
Dy  0.0000  0.0000  0.5000  6 O 2.35
O  0.3333  0.6667  0.5809  3 Dy 2.35
O  0.3333  0.6667  0.9094  3 Pr 2.42
O  0.6667  0.3333  0.0906  3 Pr 2.42
O  0.6667  0.3333  0.4191  3 Dy 2.35

Summary:
Magnetization, μB/f.u.: 0.00
Final energy, eV/cell: -51.193

=====

Material: CsDyRe2O8
Method: DFT, PBE
State: optimized geometry

Lattice parameters (Å, degrees): 5.9773 5.9773 7.8638 90.00 90.00 120.00
With the nearest neighbours (Å) after each atom.
Fractional positions:
Cs  0.0000  0.0000  0.0000  12 O 3.12-3.45
Dy  0.0000  0.0000  0.5000  6 O 2.22
Re  0.3333  0.6667  0.2463  4 O 1.77-1.80
Re  0.6667  0.3333  0.7537  4 O 1.77-1.80
O  0.1704  0.3407  0.3276  1 Re 1.80
O  0.1704  0.8296  0.3276  1 Re 1.80
O  0.3333  0.6667  0.0208  1 Re 1.77
O  0.3407  0.1704  0.6724  1 Re 1.80
O  0.6593  0.8296  0.3276  1 Re 1.80
O  0.6667  0.3333  0.9792  1 Re 1.77
O  0.8296  0.1704  0.6724  1 Re 1.80
O  0.8296  0.6593  0.6724  1 Re 1.80

Summary:
Magnetization, μB/f.u.: 2.00
Final energy, eV/cell: -93.820